## Rb2Ca2Si3O9 (PBEsol)

Data for a relaxed structure of Rb2Ca2Si3O9.

```
data_Rb2Ca2Si3O9
_chemical_formula_sum 'Rb4 Ca4 Si6 O18'
_cell_length_a 6.6033
_cell_length_b 7.3917
_cell_length_c 12.0962
_cell_angle_alpha 90.00
_cell_angle_beta 119.16
_cell_angle_gamma 90.00
_symmetry_space_group_name_H-M 'P 1 c 1'
_symmetry_Int_Tables_number 7
_symmetry_space_group_name_Hall 'P -2yc'
loop_
_atom_site_label
_atom_site_type_symbol
_atom_site_fract_x
_atom_site_fract_y
_atom_site_fract_z
Rb1 Rb 0.0000 0.0899 0.0000
Rb2 Rb 0.6122 0.1602 0.6243
Ca1 Ca 0.1005 0.4337 0.5820
Ca2 Ca 0.5681 0.3334 0.3130
Si1 Si 0.0103 0.2429 0.2749
Si2 Si 0.3262 0.0854 0.8201
Si3 Si 0.5660 0.3654 0.0430
O1 O 0.1025 0.0304 0.3141
O2 O 0.1747 0.3510 0.2338
O3 O 0.2386 0.1762 0.6830
O4 O 0.3660 0.2392 0.9297
O5 O 0.4521 0.4691 0.1173
O6 O 0.5514 0.0432 0.3676
O7 O 0.7027 0.4974 0.9943
O8 O 0.7498 0.2125 0.1457
O9 O 0.9644 0.3241 0.3843
```

## Properties
- formation energy without anion corrections (kJ per mole of atoms) = -270
- crystal system = monoclinic

## Zr2CrW (PBEsol)

Data for a relaxed structure of Zr2CrW.

```
data_Zr2CrW
_chemical_formula_sum 'Zr8 Cr4 W4'
_cell_length_a 6.5773
_cell_length_b 6.5773
_cell_length_c 6.5773
_cell_angle_alpha 90.00
_cell_angle_beta 90.00
_cell_angle_gamma 90.00
_symmetry_space_group_name_H-M 'F m -3 m'
_symmetry_Int_Tables_number 225
_symmetry_space_group_name_Hall '-F 4 2 3'
loop_
_atom_site_label
_atom_site_type_symbol
_atom_site_fract_x
_atom_site_fract_y
_atom_site_fract_z
Zr1 Zr 0.2500 0.2500 0.2500
Cr1 Cr 0.0000 0.0000 0.0000
W1 W 0.0000 0.0000 0.5000
```

## Properties
- crystal system = cubic

## MgMnPt (PBEsol)

Data for a relaxed structure of MgMnPt.

```
data_MgMnPt
_chemical_formula_sum 'Mg2 Mn2 Pt2'
_cell_length_a 2.8894
_cell_length_b 3.7825
_cell_length_c 8.4478
_cell_angle_alpha 90.00
_cell_angle_beta 90.00
_cell_angle_gamma 90.00
_symmetry_space_group_name_H-M 'I m m 2'
_symmetry_Int_Tables_number 44
_symmetry_space_group_name_Hall 'I 2 -2'
loop_
_atom_site_label
_atom_site_type_symbol
_atom_site_fract_x
_atom_site_fract_y
_atom_site_fract_z
Mg1 Mg 0.0000 0.0000 0.0000
Mn1 Mn 0.0000 0.0000 0.6805
Pt1 Pt 0.0000 0.0000 0.3318
```

## Properties
- crystal system = orthorhombic

| no. | E_tot (eV per atom) |
| --- | --- |
| 1 | -7.2223 |
| 2 | -10.2995 |
| 3 | -6.3890 |